Entry 1:
First-principles (PBE) data for a relaxed CaAs2PSe crystal, as listed in the Alexandria database.

Values from the calculation:
For the magnetic moment, the calculation gives 0.0000 μB per atom. The density is 4.26 g/cm3. The calculation puts the calculated volume at 23.37 A^3/atom. The final energy comes out at -0.304 Ry/atom.

Structure (CIF):
```
data_CaAs2PSe
_chemical_formula_sum 'Ca1 As2 P1 Se1'
_space_group_name_H-M_alt 'P 4/m m m'
_space_group_IT_number 123
_space_group_name_Hall '-P 4 2'
_cell_length_a 4.778
_cell_length_b 4.778
_cell_length_c 5.118
_cell_angle_alpha 90.00
_cell_angle_beta 90.00
_cell_angle_gamma 90.00
loop_
_atom_site_label
_atom_site_type_symbol
_atom_site_fract_x
_atom_site_fract_y
_atom_site_fract_z
Ca1 Ca 0.000 0.000 0.000
As1 As 0.000 0.500 0.500
P1 P 0.500 0.500 0.500
Se1 Se 0.500 0.500 0.000
```


Entry 2:
First-principles (PBE) data for a relaxed CaTlIr2C crystal, as listed in the Alexandria database.

Values from the calculation:
For the magnetic moment, the calculation gives 0.6177 μB per atom. The energy of formation comes out at 3.004 eV/atom. The density is 7.40 g/cm3. The calculation puts the calculated volume at 28.77 A^3/atom.

Structure (CIF):
```
data_CaTlIr2C
_chemical_formula_sum 'Ca1 Tl1 Ir2 C1'
_space_group_name_H-M_alt 'P 4/m m m'
_space_group_IT_number 123
_space_group_name_Hall '-P 4 2'
_cell_length_a 4.933
_cell_length_b 4.933
_cell_length_c 5.913
_cell_angle_alpha 90.00
_cell_angle_beta 90.00
_cell_angle_gamma 90.00
loop_
_atom_site_label
_atom_site_type_symbol
_atom_site_fract_x
_atom_site_fract_y
_atom_site_fract_z
Ca1 Ca 0.000 0.000 0.000
Tl1 Tl 0.000 0.000 0.500
Ir1 Ir 0.000 0.500 0.000
C1 C 0.500 0.500 0.500
```